[1]
VASP calculation (PBE-GGA) on a relaxed Na3Pm3NpO8 crystal.

```
data_Na3Pm3NpO8
_symmetry_space_group_name_H-M 'R -3 m'
_symmetry_Int_Tables_number 166
_symmetry_space_group_name_Hall '-R 3 2"'
_cell_length_a 7.1128
_cell_length_b 7.1128
_cell_length_c 16.8759
_cell_angle_alpha 90.00
_cell_angle_beta 90.00
_cell_angle_gamma 120.00
loop_
_atom_site_label
_atom_site_fract_x
_atom_site_fract_y
_atom_site_fract_z
_atom_site_occupancy
Na1 0.0000 0.5000 0.0000 1
Pm1 0.0000 0.5000 0.5000 1
Np1 0.0000 0.0000 0.5000 1
O1 0.0000 0.0000 0.2376 1
O2 0.0197 0.5098 0.2338 1
```

Values from the calculation:
- Energy: -0.2726 Ha/atom
- Energy relative to the elements, uncorrected: -62.2 kcal/mol of atoms

---

[2]
VASP calculation (PBE-GGA) on a relaxed K3Nd3YTe8 crystal.

```
data_K3Nd3YTe8
_symmetry_space_group_name_H-M 'R -3 m'
_symmetry_Int_Tables_number 166
_symmetry_space_group_name_Hall '-R 3 2"'
_cell_length_a 9.0195
_cell_length_b 9.0195
_cell_length_c 25.4987
_cell_angle_alpha 90.00
_cell_angle_beta 90.00
_cell_angle_gamma 120.00
loop_
_atom_site_label
_atom_site_fract_x
_atom_site_fract_y
_atom_site_fract_z
_atom_site_occupancy
K1 0.0000 0.5000 0.0000 1
Nd1 0.0000 0.5000 0.5000 1
Y1 0.0000 0.0000 0.5000 1
Te1 0.0000 0.0000 0.2387 1
Te2 0.0059 0.5030 0.2368 1
```

Values from the calculation:
- Energy: -0.1694 Ha/atom
- Energy relative to the elements, uncorrected: -30.7 kcal/mol of atoms